# 1
The following is a PBE calculation of a geometry-optimized Na2Cd6Sn structure, from Alexandria.

```
Na2Cd6Sn
1.0
4.123 -4.457 0.000
4.123 4.457 0.000
-0.712 0.000 6.029
Na Cd Sn
2 6 1
direct
0.167 0.167 0.168
0.833 0.833 0.832
0.000 0.334 0.667
0.000 0.666 0.333
0.334 0.000 0.667
0.334 0.666 0.000
0.666 0.000 0.333
0.666 0.334 0.000
0.500 0.500 0.500
```

Values from the calculation:
- E: -1.43 eV/atom
- Formation energy from the elements: -0.078 eV/atom
- Symmetry: C2/m
- Density of states at the Fermi level: 1.8 states/eV/cell



# 2
The following is a PBE calculation of a geometry-optimized Pr2NdY5 structure, from Alexandria.

```
Pr2NdY5
1.0
8.215 -5.020 0.000
8.215 5.020 0.000
-0.943 0.000 6.544
Pr Nd Y
4 2 10
direct
0.169 0.675 0.884
0.325 0.831 0.616
0.675 0.169 0.384
0.831 0.325 0.116
0.000 0.500 0.000
0.500 0.000 0.500
0.012 0.186 0.646
0.186 0.012 0.146
0.213 0.392 0.474
0.392 0.213 0.974
0.440 0.560 0.250
0.560 0.440 0.750
0.608 0.787 0.026
0.787 0.608 0.526
0.814 0.988 0.854
0.988 0.814 0.354
```

Values from the calculation:
- E: -5.68 eV/atom
- Formation energy from the elements: 0.154 eV/atom
- Symmetry: C2/c
- Density of states at the Fermi level: 25.4 states/eV/cell



# 3
The following is a PBE calculation of a geometry-optimized HfPaTl2O8 structure, from Alexandria.

```
HfPaTl2O8
1.0
-3.423 3.423 3.732
3.423 -3.423 3.732
3.423 3.423 -3.732
Hf Pa Tl O
1 1 2 8
direct
0.000 0.000 0.000
0.750 0.250 0.500
0.250 0.750 0.500
0.500 0.500 0.000
0.025 0.334 0.309
0.025 0.717 0.691
0.085 0.265 0.819
0.283 0.975 0.309
0.446 0.265 0.181
0.666 0.975 0.691
0.735 0.554 0.819
0.735 0.915 0.181
```

Values from the calculation:
- E: -7.28 eV/atom
- Symmetry: I-4m2
- Density of states at the Fermi level: 7.3 states/eV/cell



# 4
The following is a PBE calculation of a geometry-optimized Nd6CdCo2 structure, from Alexandria.

```
Nd6CdCo2
1.0
-4.803 5.040 5.127
4.803 -5.040 5.127
4.803 5.040 -5.127
Nd Cd Co
12 2 4
direct
0.029 0.233 0.796
0.182 0.285 0.467
0.182 0.715 0.897
0.323 0.010 0.687
0.323 0.637 0.313
0.437 0.233 0.204
0.563 0.767 0.796
0.677 0.363 0.687
0.677 0.990 0.313
0.818 0.285 0.103
0.818 0.715 0.533
0.971 0.767 0.204
0.000 0.000 0.000
0.500 0.500 0.000
0.111 0.611 0.500
0.338 0.000 0.338
0.662 0.000 0.662
0.889 0.389 0.500
```

Values from the calculation:
- E: -4.99 eV/atom
- Formation energy from the elements: -0.128 eV/atom
- Symmetry: Immm
- Density of states at the Fermi level: 16.4 states/eV/cell



# 5
The following is a PBE calculation of a geometry-optimized Mg2SiP4 structure, from Alexandria.

```
Mg2SiP4
1.0
7.374 0.000 0.000
0.000 10.334 0.000
0.000 0.000 3.307
Mg Si P
4 2 8
direct
0.164 0.169 0.000
0.336 0.669 0.000
0.664 0.331 0.000
0.836 0.831 0.000
0.000 0.500 0.500
0.500 0.000 0.500
0.118 0.805 0.500
0.216 0.431 0.000
0.284 0.931 0.000
0.382 0.305 0.500
0.618 0.695 0.500
0.716 0.069 0.000
0.784 0.569 0.000
0.882 0.195 0.500
```

Values from the calculation:
- E: -4.37 eV/atom
- Symmetry: Pbam
- Density of states at the Fermi level: 1.6 states/eV/cell



# 6
The following is a PBE calculation of a geometry-optimized AcPr3Ni2 structure, from Alexandria.

```
AcPr3Ni2
1.0
8.509 -2.022 0.000
8.509 2.022 0.000
-7.057 0.000 10.123
Ac Pr Ni
2 6 4
direct
0.152 0.152 0.248
0.848 0.848 0.752
0.154 0.154 0.751
0.413 0.413 0.059
0.417 0.417 0.553
0.583 0.583 0.447
0.587 0.587 0.941
0.846 0.846 0.249
0.232 0.232 0.546
0.233 0.233 0.045
0.767 0.767 0.955
0.768 0.768 0.454
```

Values from the calculation:
- E: -5.18 eV/atom
- Formation energy from the elements: -0.181 eV/atom
- Symmetry: C2/m
- Density of states at the Fermi level: 14.2 states/eV/cell